Entry 1:
Computed, not measured: crystalline NaZrF5 at its relaxed geometry at the PBE-GGA level of DFT.

a b c (Å): 4.196 5.879 5.879
angles (deg): 72.98 69.09 69.09
Positions (direct):
Na  0.000  0.000  0.000
Zr  0.500  0.500  0.500
F  0.500  0.211  0.789
F  0.500  0.789  0.211
F  0.737  0.263  0.263
F  0.263  0.737  0.737
F  0.000  0.500  0.500

Summary:
spin magnetization	0.0	μB/cell
raw total energy	-43.30	eV per cell
symmetry	No. 71
formation energy without anion corrections	-3.439	eV per atom

***

Entry 2:
Computed, not measured: crystalline NaZr2F11 at its relaxed geometry at the PBE-GGA level of DFT.

a b c (Å): 8.034 8.539 8.539
angles (deg): 73.29 61.94 61.94
Site moments in Bohr magnetons follow the coordinates.
Positions (direct):
Na  0.750  0.750  0.750  0.00
Na  0.250  0.250  0.250  0.00
Zr  0.636  0.681  0.319  -0.04
Zr  0.364  0.319  0.681  -0.04
Zr  0.864  0.181  0.819  -0.04
Zr  0.136  0.819  0.181  -0.04
F  0.624  0.712  0.553  0.19
F  0.376  0.288  0.447  0.19
F  0.111  0.553  0.712  0.19
F  0.876  0.947  0.788  0.19
F  0.889  0.447  0.288  0.19
F  0.124  0.053  0.212  0.19
F  0.389  0.788  0.947  0.19
F  0.611  0.212  0.053  0.19
F  0.500  0.500  0.500  0.08
F  0.000  0.000  0.000  0.08
F  0.879  0.775  0.225  0.10
F  0.121  0.225  0.775  0.10
F  0.621  0.275  0.725  0.10
F  0.379  0.725  0.275  0.10
F  0.481  0.953  0.317  0.21
F  0.519  0.047  0.683  0.21
F  0.250  0.317  0.953  0.21
F  0.019  0.183  0.547  0.21
F  0.750  0.683  0.047  0.21
F  0.981  0.817  0.453  0.21
F  0.250  0.547  0.183  0.21
F  0.750  0.453  0.817  0.21

Summary:
spin magnetization	4.1	μB/cell
raw total energy	-159.86	eV per cell
symmetry	No. 72
formation energy without anion corrections	-2.924	eV per atom

***

Entry 3:
Computed, not measured: crystalline Na2ZrF5 at its relaxed geometry at the PBE-GGA level of DFT.

a b c (Å): 6.480 6.370 6.225
angles (deg): 120.86 111.97 90.04
Site moments in Bohr magnetons follow the coordinates.
Positions (direct):
Na  0.050  0.636  0.271  0.00
Na  0.511  0.045  0.090  0.00
Zr  0.999  0.999  0.998  0.51
F  0.793  0.249  0.069  0.00
F  0.241  0.317  0.167  0.01
F  0.793  0.821  0.070  0.00
F  0.241  0.851  0.168  0.01
F  0.149  0.860  0.721  0.02

Summary:
spin magnetization	1.0	μB/cell
raw total energy	-44.08	eV per cell
symmetry	No. 8
formation energy without anion corrections	-2.942	eV per atom

***

Entry 4:
Computed, not measured: crystalline NaZrF5 at its relaxed geometry at the PBE-GGA level of DFT.

a b c (Å): 5.871 5.871 8.309
angles (deg): 69.12 69.12 73.32
Positions (direct):
Na  0.501  0.499  0.250
Na  0.499  0.501  0.750
Zr  0.000  0.000  0.000
Zr  0.000  0.000  0.500
F  0.790  0.737  0.123
F  0.266  0.698  0.471
F  0.737  0.790  0.623
F  0.944  0.056  0.250
F  0.302  0.734  0.029
F  0.698  0.266  0.971
F  0.056  0.944  0.750
F  0.263  0.210  0.377
F  0.734  0.302  0.529
F  0.210  0.263  0.877

Summary:
spin magnetization	0.0	μB/cell
raw total energy	-86.62	eV per cell
symmetry	No. 15
formation energy without anion corrections	-3.441	eV per atom

***

Entry 5:
Computed, not measured: crystalline Na3ZrF8 at its relaxed geometry at the PBE-GGA level of DFT.

a b c (Å): 6.650 6.650 6.650
angles (deg): 131.91 131.91 70.37
Site moments in Bohr magnetons follow the coordinates.
Positions (direct):
Na  0.500  0.500  0.000  0.00
Na  0.250  0.750  0.500  0.00
Na  0.750  0.250  0.500  0.00
Zr  0.000  0.000  0.000  -0.03
F  0.886  0.886  0.542  0.12
F  0.886  0.343  0.000  0.12
F  0.343  0.886  0.000  0.12
F  0.343  0.343  0.458  0.12
F  0.657  0.657  0.542  0.12
F  0.657  0.114  0.000  0.12
F  0.114  0.657  0.000  0.12
F  0.114  0.114  0.458  0.12

Summary:
spin magnetization	1.1	μB/cell
raw total energy	-62.57	eV per cell
symmetry	No. 139
formation energy without anion corrections	-2.925	eV per atom

***

Entry 6:
Computed, not measured: crystalline Na5Zr2F12 at its relaxed geometry at the PBE-GGA level of DFT.

a b c (Å): 7.638 7.336 6.967
angles (deg): 118.92 90.00 121.37
Site moments in Bohr magnetons follow the coordinates.
Positions (direct):
Na  0.258  0.516  0.544  0.00
Na  0.303  0.606  0.103  0.00
Na  0.000  0.000  0.500  0.00
Na  0.697  0.394  0.897  0.00
Na  0.742  0.484  0.456  0.00
Zr  0.753  0.000  0.000  0.38
Zr  0.247  0.000  0.000  0.38
F  0.893  0.786  0.966  0.00
F  0.117  0.604  0.851  0.01
F  0.488  0.604  0.851  0.01
F  0.104  0.839  0.646  0.01
F  0.736  0.839  0.646  0.01
F  0.486  0.973  0.811  0.00
F  0.514  0.027  0.189  0.00
F  0.896  0.161  0.354  0.01
F  0.264  0.161  0.354  0.01
F  0.883  0.396  0.149  0.01
F  0.512  0.396  0.149  0.01
F  0.107  0.214  0.034  0.00

Summary:
spin magnetization	1.0	μB/cell
raw total energy	-105.02	eV per cell
symmetry	No. 12
formation energy without anion corrections	-3.099	eV per atom

***

Entry 7:
Computed, not measured: crystalline NaZrF6 at its relaxed geometry at the PBE-GGA level of DFT.

a b c (Å): 5.174 5.174 8.929
angles (deg): 90.00 90.00 90.00
Site moments in Bohr magnetons follow the coordinates.
Positions (direct):
Na  0.500  0.500  0.750  0.00
Na  0.500  0.500  0.250  0.00
Zr  0.000  0.000  0.500  -0.04
Zr  0.000  0.000  0.000  -0.04
F  0.206  0.206  0.344  0.18
F  0.794  0.794  0.344  0.18
F  0.794  0.206  0.844  0.18
F  0.206  0.794  0.844  0.18
F  0.794  0.794  0.656  0.18
F  0.206  0.206  0.656  0.18
F  0.206  0.794  0.156  0.18
F  0.794  0.206  0.156  0.18
F  0.279  0.721  0.500  0.13
F  0.721  0.279  0.500  0.13
F  0.279  0.279  0.000  0.13
F  0.721  0.721  0.000  0.13

Summary:
spin magnetization	2.1	μB/cell
raw total energy	-88.72	eV per cell
symmetry	No. 132
formation energy without anion corrections	-2.908	eV per atom

***

Entry 8:
Computed, not measured: crystalline Na2ZrF at its relaxed geometry at the PBE-GGA level of DFT.

a b c (Å): 6.738 6.738 6.591
angles (deg): 59.26 59.26 90.00
Site moments in Bohr magnetons follow the coordinates.
Positions (direct):
Na  0.299  0.125  0.250  0.02
Na  0.451  0.625  0.250  0.02
Na  0.375  0.701  0.750  0.02
Na  0.875  0.549  0.750  0.02
Zr  0.000  0.000  0.000  1.56
Zr  0.750  0.250  0.500  1.55
F  0.500  0.500  0.000  0.03
F  0.250  0.750  0.500  0.03

Summary:
spin magnetization	6.3	μB/cell
raw total energy	-29.50	eV per cell
energy above the lowest structure with this stoichiometry	0.0	meV per atom
symmetry	No. 122
formation energy without anion corrections	-0.423	eV per atom